(1)
This record from the Alexandria database describes a geometry-optimized MgRhCl structure. The functional is GGA-PBE.

POSCAR file:
```
MgRhCl
1.0
5.0688 0.0000 0.0000
0.0000 4.5392 0.0000
0.0000 0.0000 10.3241
Mg Rh Cl
4 4 4
direct
0.7883 0.2500 0.4242 Mg
0.7117 0.7500 0.9242 Mg
0.2117 0.7500 0.5758 Mg
0.2883 0.2500 0.0758 Mg
0.2772 0.2500 0.3356 Rh
0.2228 0.7500 0.8356 Rh
0.7228 0.7500 0.6644 Rh
0.7772 0.2500 0.1644 Rh
0.1166 0.2500 0.8548 Cl
0.3834 0.7500 0.3548 Cl
0.8834 0.7500 0.1452 Cl
0.6166 0.2500 0.6452 Cl
```

Offset from the most stable computed form ... 0.489 eV per atom
E_form (uncorrected) ... -0.220 eV/atom
D(E_F) ... 0.110 states/eV per atom



(2)
This record from the Alexandria database describes a geometry-optimized Li4Pa3AuSe8 structure. The functional is GGA-PBE.

POSCAR file:
```
Li4Pa3AuSe8
1.0
-0.0558 -4.9870 6.1787
8.0301 -0.7887 -0.5640
-3.2736 7.3083 0.7670
Li Pa Au Se
4 3 1 8
direct
0.5000 0.0000 0.0000 Li
0.5000 0.0000 0.5000 Li
0.0000 0.0000 0.0000 Li
0.0000 0.0000 0.5000 Li
0.5000 0.5000 0.0000 Pa
0.5000 0.5000 0.5000 Pa
0.0000 0.5000 0.5000 Pa
0.0000 0.5000 0.0000 Au
0.2502 0.7561 0.0019 Se
0.2602 0.7648 0.5204 Se
0.2473 0.2363 0.4946 Se
0.7516 0.7561 0.0019 Se
0.2484 0.2439 0.9981 Se
0.7527 0.7637 0.5054 Se
0.7398 0.2352 0.4796 Se
0.7498 0.2439 0.9981 Se
```

E_form (uncorrected) ... -1.129 eV/atom
D(E_F) ... 1.146 states/eV per atom



(3)
This record from the Alexandria database describes a geometry-optimized BaSbW2 structure. The functional is GGA-PBE.

POSCAR file:
```
BaSbW2
1.0
-3.9095 -2.1454 -1.1790
2.2228 -2.4270 -2.9541
0.7536 -3.0719 3.0908
Ba Sb W
1 1 2
direct
0.5000 0.5000 0.0000 Ba
0.5000 0.0000 0.5000 Sb
0.0000 0.0000 0.0000 W
0.0000 0.5000 0.5000 W
```

E_form (uncorrected) ... 1.493 eV/atom
D(E_F) ... 1.377 states/eV per atom



(4)
This record from the Alexandria database describes a geometry-optimized TaCrBr4 structure. The functional is GGA-PBE.

POSCAR file:
```
TaCrBr4
1.0
1.1479 1.2612 5.8550
-3.1417 -2.8218 4.3996
2.7475 -4.1449 3.5300
Ta Cr Br
1 1 4
direct
0.0000 0.0000 0.0000 Ta
0.7500 0.7500 0.7500 Cr
0.8763 0.3746 0.3746 Br
0.3746 0.3746 0.8763 Br
0.3746 0.8763 0.3746 Br
0.3746 0.3746 0.3746 Br
```

E_form (uncorrected) ... 1.449 eV/atom
D(E_F) ... 1.619 states/eV per atom



(5)
This record from the Alexandria database describes a geometry-optimized Er2HfTe structure. The functional is GGA-PBE.

POSCAR file:
```
Er2HfTe
1.0
-0.8915 1.2809 -3.2819
-3.4782 0.0386 -1.0521
-2.5638 9.9413 2.5645
Te Hf Er
1 1 2
direct
0.5000 0.5000 0.5000 Te
0.0000 0.0000 0.0000 Hf
0.0978 0.0978 0.7067 Er
0.9022 0.9022 0.2933 Er
```

Offset from the most stable computed form ... 0.525 eV per atom
E_form (uncorrected) ... 0.099 eV/atom
D(E_F) ... 0.876 states/eV per atom



(6)
This record from the Alexandria database describes a geometry-optimized Dy3Os structure. The functional is GGA-PBE.

POSCAR file:
```
Dy3Os
1.0
-1.7467 -3.8656 -4.3595
-4.5563 -6.6551 3.4832
-7.8567 2.3330 -3.1643
Dy Os
12 4
direct
0.3339 0.9998 0.8071 Dy
0.1409 0.0002 0.1929 Dy
0.8589 0.8071 0.0002 Dy
0.6663 0.1929 0.9998 Dy
0.5002 0.3579 0.6417 Dy
0.4999 0.6421 0.3583 Dy
0.8580 0.6417 0.6421 Dy
0.1418 0.3583 0.3579 Dy
0.9996 0.9997 0.5929 Dy
0.5922 0.0003 0.4071 Dy
0.4075 0.5929 0.0003 Dy
0.0007 0.4071 0.9997 Dy
0.0005 0.2884 0.7110 Os
0.9999 0.7116 0.2890 Os
0.2885 0.7110 0.7116 Os
0.7111 0.2890 0.2884 Os
```

Energy of formation from the pure elements ... -19 kJ/mol of atoms
D(E_F) ... 0.962 states/eV per atom



Question: What is the D(E_F) in the second record?
Answer: 1.146 states/eV per atom



Question: Which formula does entry 2 have?
Answer: Li4Pa3AuSe8



Question: Which of these has the lowest D(E_F)?
Answer: MgRhCl



Question: What is the formula in the third record?
Answer: BaSbW2